A plane-wave DFT calculation with PBE was carried out for a relaxed Zn2OsF crystal.

a b c (Å): 4.364 4.364 4.364
angles (deg): 60.00 60.00 60.00
Last column: magnetic moment on the atom in μB.
Sites, in units of the cell vectors:
F 0.000 0.000 0.000  0.13
Zn 0.250 0.250 0.250  0.01
Zn 0.750 0.750 0.750  0.01
Os 0.500 0.500 0.500  1.73

Results
- Excess energy over the best structure of this formula in the dataset: 0.85 eV per formula unit
- Energy: -3.6388 eV/atom
- Formation energy without anion corrections: 0.273 eV per atom



A plane-wave DFT calculation with PBE was carried out for a relaxed Li2LaCr crystal.

a b c (Å): 4.241 4.249 5.237
angles (deg): 90.00 90.00 90.00
Last column: magnetic moment on the atom in μB.
Sites, in units of the cell vectors:
Li 0.500 0.500 0.000  -0.03
Cr 0.500 0.000 0.500  3.52
La 0.000 0.500 0.500  -0.09
Li 0.000 0.000 0.000  -0.03

Results
- Excess energy over the best structure of this formula in the dataset: 0.22 eV per formula unit
- Energy: -4.1868 eV/atom
- DFT formation energy: 408 meV/atom



A plane-wave DFT calculation with PBE was carried out for a relaxed TbNd4Sm2Sc crystal.

a b c (Å): 5.122 5.102 11.312
angles (deg): 63.16 90.00 90.00
Sites, in units of the cell vectors:
Nd 0.500 0.745 0.255
Tb 0.500 0.500 0.000
Nd 0.000 0.244 0.255
Sc 0.000 0.500 0.500
Nd 0.500 0.255 0.745
Nd 0.000 0.756 0.745
Sm 0.000 0.000 0.000
Sm 0.500 0.000 0.500

Results
- Energy: -4.9059 eV/atom
- DFT formation energy: 28 meV/atom



A plane-wave DFT calculation with PBE was carried out for a relaxed PrScP crystal.

a b c (Å): 5.212 7.856 7.869
angles (deg): 90.04 90.00 90.00
Sites, in units of the cell vectors:
P 0.250 0.625 0.889
Pr 0.250 0.375 0.628
P 0.250 0.125 0.889
Pr 0.250 0.875 0.628
Pr 0.750 0.625 0.372
Sc 0.250 0.375 0.107
P 0.750 0.375 0.111
Pr 0.750 0.125 0.372
Sc 0.750 0.125 0.893
P 0.750 0.875 0.111
Sc 0.250 0.875 0.107
Sc 0.750 0.625 0.893

Results
- Energy: -6.4235 eV/atom
- DFT formation energy: -917 meV/atom



A plane-wave DFT calculation with PBE was carried out for a relaxed AlZn2Pd crystal.

a b c (Å): 7.344 7.344 5.769
angles (deg): 50.47 50.47 90.00
Sites, in units of the cell vectors:
Pd 0.750 0.250 0.500
Zn 0.107 0.625 0.250
Pd 0.000 0.000 0.000
Al 0.500 0.500 0.000
Zn 0.375 0.357 0.750
Zn 0.643 0.125 0.250
Al 0.250 0.750 0.500
Zn 0.875 0.893 0.750

Results
- Energy: -2.9387 eV/atom
- DFT formation energy: -68 meV/atom



A plane-wave DFT calculation with PBE was carried out for a relaxed NdInHg3 crystal.

a b c (Å): 4.875 4.802 11.218
angles (deg): 90.00 77.51 90.00
Sites, in units of the cell vectors:
Hg 0.757 0.344 0.206
In 0.863 0.844 0.993
Hg 0.955 0.344 0.808
Nd 0.059 0.844 0.602
In 0.548 0.344 0.622
Hg 0.654 0.844 0.409
Hg 0.157 0.344 0.400
Hg 0.253 0.844 0.215
Hg 0.457 0.844 0.807
Nd 0.352 0.344 0.013

Results
- Excess energy over the best structure of this formula in the dataset: 0.00 eV per formula unit
- Energy: -2.0027 eV/atom
- DFT formation energy: -320 meV/atom